1.
This record from the Alexandria database describes TbNdLuPu after structural relaxation. The functional is GGA-PBE.

POSCAR file:
```
TbNdLuPu
1.0
5.613 0.000 0.000
2.807 4.861 0.000
2.807 1.620 4.583
Nd Lu Tb Pu
1 1 1 1
Direct
0.250 0.250 0.250
0.000 0.000 0.000
0.500 0.500 0.500
0.750 0.750 0.750
```

Properties
For the theoretical density, the calculation gives 9.59 g/cm³. Its energy of formation from the pure elements is 0.21 eV/atom. Its final energy is -6.86 eV/atom.

2.
This record from the Alexandria database describes ErVW after structural relaxation. The functional is GGA-PBE.

POSCAR file:
```
ErVW
1.0
-1.156 3.315 -3.515
-4.029 -2.790 0.809
1.030 3.049 4.990
Er V W
2 2 2
Direct
0.688 0.312 0.000
0.312 0.688 0.000
0.822 0.822 0.644
0.178 0.178 0.356
0.750 0.250 0.500
0.250 0.750 0.500
```

Properties
For the theoretical density, the calculation gives 11.00 g/cm³. Its energy of formation from the pure elements is 0.47 eV/atom. Its final energy is -8.41 eV/atom.

3.
This record from the Alexandria database describes ThAg2Bi after structural relaxation. The functional is GGA-PBE.

POSCAR file:
```
ThAg2Bi
1.0
-1.120 0.344 -4.688
-0.470 -4.551 -0.221
-4.431 0.405 1.089
Ag Bi Th
2 1 1
Direct
0.000 0.000 0.500
0.000 0.500 0.000
0.500 0.500 0.500
0.500 0.000 0.000
```

Properties
For the theoretical density, the calculation gives 10.75 g/cm³. Its energy of formation from the pure elements is -0.17 eV/atom. Its final energy is -4.42 eV/atom. For the energy above the lowest structure with this stoichiometry, the calculation gives 0.0000 eV per atom.

4.
This record from the Alexandria database describes YMoC after structural relaxation. The functional is GGA-PBE.

POSCAR file:
```
YMoC
1.0
-1.547 -1.732 4.983
5.445 -0.063 -0.761
0.447 7.114 2.611
Mo Y C
4 4 4
Direct
0.112 0.112 0.329
0.612 0.612 0.171
0.388 0.388 0.829
0.888 0.888 0.671
0.191 0.809 0.000
0.809 0.191 0.000
0.691 0.309 0.500
0.309 0.691 0.500
0.277 0.277 0.085
0.223 0.223 0.585
0.723 0.723 0.915
0.777 0.777 0.415
```

Properties
For the theoretical density, the calculation gives 6.22 g/cm³. Its energy of formation from the pure elements is 0.08 eV/atom. Its final energy is -8.76 eV/atom.

5.
This record from the Alexandria database describes PaZn8Fe4 after structural relaxation. The functional is GGA-PBE.

POSCAR file:
```
PaZn8Fe4
1.0
4.634 0.000 1.862
2.317 6.155 0.931
0.021 0.000 6.642
Pa Zn Fe
1 8 4
Direct
0.000 0.000 0.000
0.000 0.343 0.657
0.000 0.657 0.343
0.343 0.657 0.657
0.657 0.343 0.343
0.500 0.774 0.226
0.500 0.226 0.774
0.274 0.226 0.226
0.726 0.774 0.774
0.000 0.000 0.500
0.500 0.000 0.500
0.000 0.500 0.000
0.500 0.500 0.000
```

Properties
For the theoretical density, the calculation gives 8.58 g/cm³. Its energy of formation from the pure elements is -0.02 eV/atom. Its final energy is -4.14 eV/atom.

6.
This record from the Alexandria database describes Nb2MoW2 after structural relaxation. The functional is GGA-PBE.

POSCAR file:
```
Nb2MoW2
1.0
-3.798 2.073 4.419
0.627 -0.589 5.143
1.570 6.801 2.416
Nb Mo W
4 2 4
Direct
0.662 0.369 0.698
0.338 0.631 0.302
0.031 0.631 0.698
0.969 0.369 0.302
0.173 0.655 0.000
0.827 0.345 0.000
0.727 0.000 0.426
0.598 0.000 0.125
0.402 0.000 0.875
0.273 0.000 0.574
```

Properties
For the theoretical density, the calculation gives 12.34 g/cm³. Its energy of formation from the pure elements is 0.33 eV/atom. Its final energy is -11.05 eV/atom. For the energy above the lowest structure with this stoichiometry, the calculation gives 0.0000 eV per atom.

7.
This record from the Alexandria database describes HoThRu after structural relaxation. The functional is GGA-PBE.

POSCAR file:
```
HoThRu
1.0
4.855 0.000 0.000
2.428 4.205 0.000
2.428 1.402 3.964
Ru Ho Th
1 1 1
Direct
0.250 0.250 0.250
0.000 0.000 0.000
0.500 0.500 0.500
```

Properties
For the theoretical density, the calculation gives 10.22 g/cm³. Its energy of formation from the pure elements is -0.26 eV/atom. Its final energy is -7.35 eV/atom. For the energy above the lowest structure with this stoichiometry, the calculation gives 0.0834 eV per atom.

8.
This record from the Alexandria database describes HBrF2 after structural relaxation. The functional is GGA-PBE.

POSCAR file:
```
HBrF2
1.0
1.838 0.000 5.839
-0.919 1.592 5.839
-0.919 -1.592 5.839
H Br F
1 1 2
Direct
0.500 0.500 0.500
0.000 0.000 0.000
0.885 0.885 0.885
0.115 0.115 0.115
```

Properties
For the theoretical density, the calculation gives 3.85 g/cm³. Its final energy is -2.28 eV/atom. For the energy above the lowest structure with this stoichiometry, the calculation gives 0.9678 eV per atom.

9.
This record from the Alexandria database describes BeCdIr2 after structural relaxation. The functional is GGA-PBE.

POSCAR file:
```
BeCdIr2
1.0
-2.014 -1.654 -3.519
-1.441 -4.135 0.044
-4.300 -0.819 0.122
Be Ir Cd
1 2 1
Direct
0.500 0.500 0.500
0.000 0.000 0.000
0.250 0.250 0.250
0.750 0.750 0.750
```

Properties
For the theoretical density, the calculation gives 14.14 g/cm³. Its energy of formation from the pure elements is 0.34 eV/atom. Its final energy is -5.25 eV/atom. For the energy above the lowest structure with this stoichiometry, the calculation gives 0.4239 eV per atom.

10.
This record from the Alexandria database describes Th2BiTe2H2 after structural relaxation. The functional is GGA-PBE.

POSCAR file:
```
Th2BiTe2H2
1.0
-1.792 -1.656 -3.310
1.193 -3.696 -1.350
-8.831 -7.281 5.869
Th Bi Te H
2 1 2 2
Direct
0.733 0.733 0.802
0.267 0.267 0.198
0.000 0.000 0.000
0.119 0.119 0.642
0.881 0.881 0.358
0.605 0.605 0.186
0.395 0.395 0.814
```

Properties
For the theoretical density, the calculation gives 8.35 g/cm³. Its final energy is -5.29 eV/atom.

11.
This record from the Alexandria database describes Dy2PuGa after structural relaxation. The functional is GGA-PBE.

POSCAR file:
```
Dy2PuGa
1.0
-0.338 3.349 -0.861
-0.236 -0.885 -3.351
-8.624 -0.669 0.785
Dy Ga Pu
2 1 1
Direct
0.000 0.000 0.786
0.000 0.000 0.214
0.500 0.500 0.000
0.500 0.500 0.500
```

Properties
For the theoretical density, the calculation gives 10.12 g/cm³. Its energy of formation from the pure elements is -0.20 eV/atom. Its final energy is -6.84 eV/atom. For the energy above the lowest structure with this stoichiometry, the calculation gives 0.0000 eV per atom.

12.
This record from the Alexandria database describes KCa2InTe after structural relaxation. The functional is GGA-PBE.

POSCAR file:
```
KCa2InTe
1.0
6.291 0.000 0.000
0.000 5.708 0.000
0.000 0.000 6.291
Ca Te K In
2 1 1 1
Direct
0.000 0.000 0.500
0.500 0.000 0.000
0.500 0.500 0.500
0.000 0.000 0.000
0.000 0.500 0.000
```

Properties
For the uncorrected formation energy, the calculation gives 0.630 eV per atom. For the theoretical density, the calculation gives 2.66 g/cm³. Its final energy is -1.57 eV/atom.

13.
This record from the Alexandria database describes Ho4Tl2Co after structural relaxation. The functional is GGA-PBE.

POSCAR file:
```
Ho4Tl2Co
1.0
3.655 0.000 0.000
0.000 8.919 -1.307
0.000 -5.500 6.841
Ho Tl Co
4 2 1
Direct
0.500 0.925 0.772
0.000 0.448 0.218
0.500 0.218 0.371
0.000 0.695 0.925
0.500 0.315 0.811
0.500 0.828 0.332
0.000 0.071 0.071
```

Properties
For the theoretical density, the calculation gives 9.52 g/cm³. Its energy of formation from the pure elements is -0.17 eV/atom. Its final energy is -4.47 eV/atom. For the energy above the lowest structure with this stoichiometry, the calculation gives 0.0000 eV per atom.

no.,D(E_F) (states/eV/f.u.)
1,11.5
2,3.0
3,1.8
4,2.0
5,12.3
6,4.5
7,3.6
8,1.2
9,4.6
10,2.4
11,8.1
12,6.6
13,5.4